Density functional theory data (PBE-GGA) for an optimized crystal structure of NaNiSbPt2.

extended XYZ file:
```
5
Lattice="4.748 0.000 0.000 0.000 4.297 0.000 0.000 0.000 4.748" Properties=species:S:1:pos:R:3 pbc="T T T"
Sb 2.374 2.149 2.374
Na 0.000 0.000 0.000
Pt 0.000 0.000 2.374
Pt 2.374 0.000 0.000
Ni 0.000 2.149 0.000
```

Results
Its space-group type is P4/mmm.

---

Density functional theory data (PBE-GGA) for an optimized crystal structure of Na2Si3NiPt4.

extended XYZ file:
```
10
Lattice="4.047 0.000 0.000 0.000 4.047 0.000 0.000 0.000 10.353" Properties=species:S:1:pos:R:3 pbc="T T T"
Na 2.023 0.000 2.675
Na 0.000 2.023 7.679
Si 0.000 0.000 5.177
Si 2.023 0.000 8.944
Si 0.000 2.023 1.409
Ni 2.023 2.023 5.177
Pt 2.023 2.023 0.000
Pt 0.000 0.000 0.000
Pt 2.023 0.000 6.617
Pt 0.000 2.023 3.736
```

Results
Its space-group type is P-4m2.

---

It is found that the energy relative to the elements, uncorrected values, taken in the order of the records, are 1.12, -0.54 eV per atom.